# 1
Dy3BiO6 | PBE | relaxed

Computed properties:
Final energy in eV/atom: -7.69
Formation energy (no corrections) in eV/atom: -2.944

Geometry as extended XYZ:
```
20
Lattice="6.820 -0.002 -0.002 -0.150 6.818 -0.002 -0.150 -0.154 6.816" Properties=species:S:1:pos:R:3 pbc="T T T"
Dy 2.789 6.267 5.099
Dy 6.205 5.033 3.036
Dy 1.622 3.767 0.433
Dy 4.897 2.896 6.379
Dy 0.314 1.629 3.775
Dy 3.731 0.395 1.712
Bi 0.000 0.000 0.000
Bi 3.260 3.331 3.406
O 2.065 6.094 0.509
O 0.472 6.202 4.605
O 3.964 5.567 3.251
O 6.190 4.590 0.708
O 3.040 4.031 5.638
O 1.039 3.503 2.656
O 5.480 3.160 4.155
O 3.479 2.631 1.174
O 0.329 2.072 6.104
O 2.555 1.095 3.561
O 6.048 0.461 2.207
O 4.455 0.568 6.302
```


# 2
Dy2Bi2O7 | PBE | relaxed

Computed properties:
Final energy in eV/atom: -6.79
Formation energy (no corrections) in eV/atom: -2.097

Geometry as extended XYZ:
```
22
Lattice="-5.241 -0.904 5.599 -7.455 -0.906 -1.799 -3.414 -6.851 1.023" Properties=species:S:1:pos:R:3 pbc="T T T"
Dy -5.741 -1.536 -0.297
Dy -3.721 -4.508 1.114
Dy -4.634 -1.535 3.402
Dy -2.014 -1.083 0.603
Bi -10.069 -5.414 3.014
Bi -7.448 -4.961 0.215
Bi -6.341 -4.960 3.914
Bi -8.362 -1.988 2.503
O -9.338 -5.894 0.957
O -13.366 -8.059 2.163
O -8.328 -5.893 4.332
O -5.938 -5.480 1.778
O -10.172 -3.181 3.045
O 0.000 0.000 0.000
O -7.781 -2.769 0.491
O -12.356 -8.058 5.538
O -14.199 -5.347 4.250
O -9.965 -7.646 2.984
O -4.027 -2.165 1.206
O -11.809 -4.934 1.696
O -6.771 -2.768 3.865
O -10.799 -4.933 5.071
```


# 3
DyBiO | PBE | relaxed

Computed properties:
Final energy in eV/atom: -6.34
Energy above the lowest structure with this stoichiometry in meV/atom: 250.2
Formation energy (no corrections) in eV/atom: -1.864

Geometry as extended XYZ:
```
3
Lattice="3.587 0.000 0.000 1.794 3.106 0.000 1.794 1.035 6.685" Properties=species:S:1:pos:R:3 pbc="T T T"
Bi 1.794 1.035 0.006
O 3.587 2.071 3.181
Dy 1.794 1.035 3.792
```


# 4
Dy2BiO | PBE | relaxed

Computed properties:
Final energy in eV/atom: -6.31
Energy above the lowest structure with this stoichiometry in meV/atom: 0.0
Formation energy (no corrections) in eV/atom: -1.802

Geometry as extended XYZ:
```
16
Lattice="-2.782 7.080 1.239 -5.800 -2.660 2.181 2.183 1.203 7.272" Properties=species:S:1:pos:R:3 pbc="T T T"
Dy -4.955 2.208 3.505
Dy -4.481 -1.753 3.230
Dy -3.541 5.218 5.019
Dy -1.918 7.375 7.462
Dy -2.858 0.404 5.673
Dy -5.838 3.215 6.890
Dy -1.443 3.414 7.187
Dy -0.560 2.407 3.802
Bi -2.254 0.421 2.227
Bi -4.142 1.024 8.367
Bi -2.257 4.598 2.325
Bi -4.144 5.201 8.465
O -1.632 5.479 6.226
O -0.980 1.600 5.885
O -4.766 0.143 4.466
O -5.418 4.022 4.807
```


# 5
DyBiO2 | PBE | relaxed

Computed properties:
Final energy in eV/atom: -7.01
Formation energy (no corrections) in eV/atom: -2.414

Geometry as extended XYZ:
```
4
Lattice="-3.303 -0.606 1.068 -1.286 -3.281 -0.025 0.746 -2.237 6.854" Properties=species:S:1:pos:R:3 pbc="T T T"
Bi 0.000 0.000 0.000
O -0.040 -1.912 4.607
O -3.804 -4.212 3.290
Dy -1.922 -3.062 3.949
```


# 6
DyBiO | PBE | relaxed

Computed properties:
Final energy in eV/atom: -6.46
Energy above the lowest structure with this stoichiometry in meV/atom: 132.0
Formation energy (no corrections) in eV/atom: -1.982

Geometry as extended XYZ:
```
3
Lattice="-0.155 0.171 3.606 1.194 -3.003 -1.617 6.334 2.433 0.157" Properties=species:S:1:pos:R:3 pbc="T T T"
Bi 0.192 0.074 0.005
O 4.069 -0.668 0.206
Dy 3.111 0.195 1.934
```